# 1
The following is a DFT calculation (PBE) of a relaxed structure of SrCI2N.

Summary:
DOS at the Fermi energy   0.2132 states/eV per atom
Formation energy (no corrections)   0.809 eV/atom
Energy above the lowest structure with this stoichiometry   0.0 kJ/mol of atoms

extended XYZ file:
```
5
Lattice="6.2677 0.0000 0.0000 0.0000 6.2677 0.0000 0.0000 0.0000 3.1018" Properties=species:S:1:pos:R:3 pbc="T T T"
Sr 0.0000 0.0000 0.0000
C 3.1339 3.1339 1.5509
I 0.0000 3.1339 1.5509
I 3.1339 0.0000 1.5509
N 3.1339 3.1339 0.0000
```

# 2
The following is a DFT calculation (PBE) of a relaxed structure of SrCIN2.

Summary:
DOS at the Fermi energy   0.5752 states/eV per atom
Formation energy (no corrections)   2.441 eV/atom

extended XYZ file:
```
5
Lattice="4.9427 0.0000 0.0000 0.0000 4.9427 0.0000 0.0000 0.0000 6.6367" Properties=species:S:1:pos:R:3 pbc="T T T"
Sr 0.0000 0.0000 0.0000
C 2.4714 2.4714 3.3184
I 0.0000 0.0000 3.3184
N 0.0000 2.4714 0.0000
N 2.4714 0.0000 0.0000
```

# 3
The following is a DFT calculation (PBE) of a relaxed structure of TaCIN2.

Summary:
DOS at the Fermi energy   0.4243 states/eV per atom
Formation energy (no corrections)   1.459 eV/atom
Energy above the lowest structure with this stoichiometry   0.0 kJ/mol of atoms

extended XYZ file:
```
5
Lattice="3.9517 0.0000 0.0000 0.0000 3.9517 0.0000 0.0000 0.0000 6.0571" Properties=species:S:1:pos:R:3 pbc="T T T"
Ta 0.0000 0.0000 0.0000
C 1.9759 1.9759 3.0286
I 0.0000 0.0000 3.0286
N 0.0000 1.9759 0.0000
N 1.9759 0.0000 0.0000
```

# 4
The following is a DFT calculation (PBE) of a relaxed structure of TaCIN2.

Summary:
DOS at the Fermi energy   0.5568 states/eV per atom
Formation energy (no corrections)   2.503 eV/atom
Energy above the lowest structure with this stoichiometry   100.7 kJ/mol of atoms

extended XYZ file:
```
5
Lattice="3.9146 0.0000 0.0000 0.0000 3.9146 0.0000 0.0000 0.0000 4.1338" Properties=species:S:1:pos:R:3 pbc="T T T"
Ta 0.0000 0.0000 0.0000
C 1.9573 1.9573 2.0669
I 1.9573 1.9573 0.0000
N 0.0000 1.9573 2.0669
N 1.9573 0.0000 2.0669
```

# 5
The following is a DFT calculation (PBE) of a relaxed structure of Tb6C2I3N.

Summary:
DOS at the Fermi energy   0.3547 states/eV per atom
Formation energy (no corrections)   -0.911 eV/atom

extended XYZ file:
```
12
Lattice="3.2514 -5.6313 0.0000 3.2514 5.6313 0.0000 -2.1675 0.0000 7.4413" Properties=species:S:1:pos:R:3 pbc="T T T"
Tb 1.0781 1.8670 1.2489
Tb -0.0106 0.0000 6.1904
Tb 1.0781 -1.8670 1.2489
Tb 3.2571 1.8670 6.1924
Tb 4.3458 0.0000 1.2510
Tb 3.2571 -1.8670 6.1924
C 3.2514 1.8763 0.0000
C 3.2514 -1.8763 0.0000
I 2.1676 3.7444 3.7207
I 2.1676 0.0000 3.7207
I 2.1676 -3.7444 3.7207
N 0.0000 0.0000 0.0000
```

# 6
The following is a DFT calculation (PBE) of a relaxed structure of TcCIN2.

Summary:
DOS at the Fermi energy   0.7109 states/eV per atom
Formation energy (no corrections)   2.745 eV/atom
Energy above the lowest structure with this stoichiometry   99.6 kJ/mol of atoms

extended XYZ file:
```
5
Lattice="3.7939 0.0000 0.0000 0.0000 3.7939 0.0000 0.0000 0.0000 4.2150" Properties=species:S:1:pos:R:3 pbc="T T T"
Tc 0.0000 0.0000 0.0000
C 1.8970 1.8970 2.1075
I 1.8970 1.8970 0.0000
N 0.0000 1.8970 2.1075
N 1.8970 0.0000 2.1075
```

# 7
The following is a DFT calculation (PBE) of a relaxed structure of TcCI2N.

Summary:
DOS at the Fermi energy   0.7002 states/eV per atom
Formation energy (no corrections)   1.633 eV/atom
Energy above the lowest structure with this stoichiometry   1.5 kJ/mol of atoms

extended XYZ file:
```
5
Lattice="5.4909 0.0000 0.0000 0.0000 5.4909 0.0000 0.0000 0.0000 3.7421" Properties=species:S:1:pos:R:3 pbc="T T T"
Tc 0.0000 0.0000 0.0000
C 2.7455 2.7455 1.8711
I 0.0000 2.7455 0.0000
I 2.7455 0.0000 0.0000
N 0.0000 0.0000 1.8711
```

# 8
The following is a DFT calculation (PBE) of a relaxed structure of TcCI2N.

Summary:
DOS at the Fermi energy   0.8825 states/eV per atom
Formation energy (no corrections)   1.617 eV/atom
Energy above the lowest structure with this stoichiometry   0.0 kJ/mol of atoms

extended XYZ file:
```
5
Lattice="7.3990 0.0000 0.0000 0.0000 7.3990 0.0000 0.0000 0.0000 2.6200" Properties=species:S:1:pos:R:3 pbc="T T T"
Tc 0.0000 0.0000 0.0000
C 3.6995 3.6995 1.3100
I 0.0000 3.6995 1.3100
I 3.6995 0.0000 1.3100
N 3.6995 3.6995 0.0000
```

Question: Which formula does entry 7 have?
Answer: TcCI2N

Question: Number 8 is which compound?
Answer: TcCI2N

Question: DOS at the Fermi energy of number 5 (Tb6C2I3N)?
Answer: 0.3547 states/eV per atom

What did the first record say?
The following is a DFT calculation (PBE) of a relaxed structure of SrCI2N.

Summary:
DOS at the Fermi energy   0.2132 states/eV per atom
Formation energy (no corrections)   0.809 eV/atom
Energy above the lowest structure with this stoichiometry   0.0 kJ/mol of atoms

extended XYZ file:
```
5
Lattice="6.2677 0.0000 0.0000 0.0000 6.2677 0.0000 0.0000 0.0000 3.1018" Properties=species:S:1:pos:R:3 pbc="T T T"
Sr 0.0000 0.0000 0.0000
C 3.1339 3.1339 1.5509
I 0.0000 3.1339 1.5509
I 3.1339 0.0000 1.5509
N 3.1339 3.1339 0.0000
```